# TbCr2PbO8

A relaxed TbCr2PbO8 crystal (PBE+U, the Alexandria database).

Calculated values
As for the space-group type: No. 164. As for the size of the total moment: 0.0833 μB/atom. As for the uncorrected energy: -6.9571 eV per atom.

Cell lengths 5.744, 5.744, 7.159 Å; angles 90.00, 90.00, 120.00 degrees
Fractional positions:
O 0.170 0.339 0.712
O 0.831 0.170 0.288
O 0.333 0.667 0.015
Cr 0.333 0.667 0.787
O 0.667 0.333 0.985
O 0.339 0.169 0.288
Pb 0.000 0.000 0.000
Cr 0.667 0.333 0.213
O 0.830 0.661 0.288
O 0.661 0.831 0.712
O 0.169 0.830 0.712
Tb 0.000 0.000 0.500